Material: Pu2TiGa3
Method: DFT, PBE-GGA
State: optimized geometry

Geometry as CIF:
```
data_Pu2TiGa3
_chemical_formula_sum 'Pu6 Ti3 Ga9'
_cell_length_a 5.6507
_cell_length_b 5.6507
_cell_length_c 12.9846
_cell_angle_alpha 90.00
_cell_angle_beta 90.00
_cell_angle_gamma 120.00
_space_group_name_H-M_alt 'R -3 m'
_space_group_IT_number 166
_space_group_name_Hall '-R 3 2"'
loop_
_atom_site_label
_atom_site_type_symbol
_atom_site_fract_x
_atom_site_fract_y
_atom_site_fract_z
_atom_site_occupancy
Pu1 Pu 0.0000 0.0000 0.1215 1
Ti1 Ti 0.0000 0.0000 0.5000 1
Ga1 Ga 0.0000 0.5000 0.0000 1
```

## Properties
- Uncorrected energy: -7.9750 eV per atom
- Polymorph energy (0 for the lowest one): 0.000 eV per atom
- M_tot: 1.769 μB/atom
- ΔH_f (0 K): -2.21 eV/f.u.

---

Material: Tl2PdRu
Method: DFT, PBE-GGA
State: optimized geometry

Geometry as CIF:
```
data_Tl2PdRu
_chemical_formula_sum 'Tl8 Pd4 Ru4'
_cell_length_a 6.681
_cell_length_b 6.681
_cell_length_c 6.681
_cell_angle_alpha 90.00
_cell_angle_beta 90.00
_cell_angle_gamma 90.00
_space_group_name_H-M_alt 'F m -3 m'
_space_group_IT_number 225
_space_group_name_Hall '-F 4 2 3'
loop_
_atom_site_label
_atom_site_type_symbol
_atom_site_fract_x
_atom_site_fract_y
_atom_site_fract_z
_atom_site_occupancy
Tl1 Tl 0.250 0.250 0.250 1
Pd1 Pd 0.000 0.000 0.000 1
Ru1 Ru 0.000 0.000 0.500 1
```

## Properties
- Uncorrected energy: -4.5139 eV per atom
- Polymorph energy (0 for the lowest one): 0.000 eV per atom
- M_tot: 0.000 μB/atom
- ΔH_f (0 K): 1.15 eV/f.u.

---

Q: Which value of M_tot does entry 2 give?
A: 0.000 μB/atom